A plane-wave DFT calculation with PBE-GGA was carried out for crystalline YVSb2 at its relaxed geometry.

The structure belongs to space group R-3m (No. 166, hexagonal axes); the cell edges are 4.2015, 4.2015 and 19.7814 Å and the angles 90.00°, 90.00° and 120.00°. Symmetry generates all atoms from Y at (0.0000, 0.0000, 0.0000), V at (0.0000, 0.0000, 0.5000) and Sb at (0.0000, 0.0000, 0.2373).

As for the total moment: 6.09 μB per cell. The formation energy (no corrections) comes out at -10.57 kcal/mol of atoms. For the uncorrected energy, the calculation gives -77.0 eV per cell. For the density of states at the Fermi level, the calculation gives 1.06 states/eV per atom. The calculation puts the offset from the most stable computed form at 0 meV/atom.